Ho3ScRh2 after structural relaxation, computed with PBE.

a b c (Å): 7.9142 7.9142 7.9142
angles (deg): 149.86 146.12 45.97
Fractional positions:
Ho (0.0000, 0.0000, 0.0000)
Ho (0.1840, 0.6840, 0.5000)
Ho (0.8160, 0.3160, 0.5000)
Sc (0.5000, 0.5000, 0.0000)
Rh (0.3729, 0.8729, 0.5000)
Rh (0.6271, 0.1271, 0.5000)

SG: Immm, No. 71
Total DFT energy (no corrections) (eV/atom): -6.400
Energy above the lowest structure with this stoichiometry (kJ per mole of atoms): 0.00
Calculated volume (A^3/atom): 23.05